[1]
Material: NpIn3S6
Method: DFT, PBE
State: relaxed

a = 3.9232 Å, b = 11.3499 Å, c = 10.8597 Å
α = 112.09°, β = 90.00°, γ = 90.00°
Each line ends with the local moment (μB).
Sites, in units of the cell vectors:
S1 0.7500 0.8005 0.7392  -0.01
S2 0.7500 0.4529 0.6057  0.00
S3 0.2500 0.5471 0.3943  0.00
S4 0.2500 0.1995 0.2608  -0.01
S5 0.7500 0.9308 0.0956  -0.02
S6 0.7500 0.0988 0.4619  -0.09
S7 0.2500 0.9012 0.5381  -0.09
S8 0.2500 0.6019 0.9368  0.01
S9 0.7500 0.7481 0.2658  -0.03
S10 0.2500 0.0692 0.9044  -0.02
S11 0.7500 0.3981 0.0632  0.01
S12 0.2500 0.2519 0.7342  -0.03
Np1 0.7500 0.0472 0.6970  3.79
Np2 0.2500 0.9528 0.3030  3.79
In1 0.7500 0.1681 0.0936  0.05
In2 0.2500 0.8319 0.9064  0.05
In3 0.2500 0.5640 0.1647  0.01
In4 0.7500 0.6988 0.4826  0.03
In5 0.7500 0.4360 0.8353  0.01
In6 0.2500 0.3012 0.5174  0.03

uncorrected energy = -5.314 eV per atom
E_form (uncorrected) = -722 meV per atom
mass density = 5.74 Mg/m³

[2]
Material: Pm4Mg2Sn
Method: DFT, PBE
State: relaxed

a = 6.6066 Å, b = 6.6066 Å, c = 6.6066 Å
α = 110.68°, β = 108.87°, γ = 108.87°
Sites, in units of the cell vectors:
Pm1 0.0000 0.0000 0.5000
Pm2 0.5000 0.5000 0.5000
Pm3 0.0000 0.5000 0.0000
Pm4 0.5000 0.0000 0.0000
Mg1 0.5000 0.5000 0.0000
Mg2 0.5000 0.0000 0.5000
Sn1 0.0000 0.0000 0.0000

uncorrected energy = -3.904 eV per atom
energy of formation from the pure elements = -0.16 eV per atom
mass density = 5.59 Mg/m³

[3]
Material: RbFeRe3
Method: DFT, PBE
State: relaxed

a = 4.5945 Å, b = 4.5945 Å, c = 4.5945 Å
α = 90.00°, β = 90.00°, γ = 90.00°
Sites, in units of the cell vectors:
Rb1 0.0000 0.0000 0.0000
Re1 0.0000 0.0000 0.5000
Re2 0.0000 0.5000 0.0000
Re3 0.5000 0.0000 0.0000
Fe1 0.5000 0.5000 0.5000

uncorrected energy = -4.917 eV per atom
energy of formation from the pure elements = 4.44 eV per atom
mass density = 11.98 Mg/m³

[4]
Material: LiNd8Sm6
Method: DFT, PBE
State: relaxed

a = 6.1454 Å, b = 9.7827 Å, c = 9.7827 Å
α = 120.00°, β = 90.00°, γ = 90.00°
Sites, in units of the cell vectors:
Nd1 0.2113 0.2608 0.2150
Nd2 0.7887 0.7392 0.7850
Nd3 0.7823 0.3333 0.6667
Nd4 0.2113 0.9542 0.7392
Nd5 0.7887 0.0458 0.2608
Nd6 0.7887 0.2150 0.9542
Nd7 0.2177 0.6667 0.3333
Nd8 0.2113 0.7850 0.0458
Sm1 0.2873 0.0935 0.4642
Sm2 0.7127 0.6293 0.0935
Sm3 0.7127 0.9065 0.5358
Sm4 0.2873 0.3707 0.9065
Sm5 0.7127 0.4642 0.3707
Sm6 0.2873 0.5358 0.6293
Li1 0.5000 0.0000 0.0000

uncorrected energy = -4.441 eV per atom
energy of formation from the pure elements = 0.12 eV per atom
mass density = 6.73 Mg/m³